[1]
CeTc2PbO8: relaxed, PBE.

Calculated values
Energy = -7.534 eV per atom
N(E_F) = 0.21 states/eV/atom

a b c (Å): 6.0064 6.0064 7.2034
angles (deg): 90.00 90.00 120.00
Space group P-3 (No. 147)
Unique sites:
Ce (0.0000, 0.0000, 0.0000)
Tc (0.3333, 0.6667, 0.2964)
Pb (0.0000, 0.0000, 0.5000)
O (0.1642, 0.8340, 0.2142)
O (0.3333, 0.6667, 0.5402)

---

[2]
CeTe2PbO8: relaxed, PBE.

Calculated values
Energy = -6.017 eV per atom
N(E_F) = 0.58 states/eV/atom

a b c (Å): 6.2483 6.2483 7.1518
angles (deg): 90.00 90.00 120.00
Space group P-3m1 (No. 164)
Unique sites:
Ce (0.0000, 0.0000, 0.0000)
Te (0.3333, 0.6667, 0.2751)
Pb (0.0000, 0.0000, 0.5000)
O (0.1566, 0.3132, 0.2112)
O (0.3333, 0.6667, 0.5303)